First-principles (GGA-PBE) data for ZrMnIr2 after structural relaxation, as listed in Alexandria via LeMat-Bulk.

Structure (extended XYZ):
```
8
Lattice="-2.006 2.006 8.790 2.006 -2.006 8.790 2.006 2.006 -8.790" Properties=species:S:1:pos:R:3 pbc="T T T"
Zr 0.000 0.000 0.000
Zr 0.000 2.006 4.395
Mn 2.006 0.000 4.395
Mn 0.000 0.000 8.790
Ir 1.003 -0.820 6.593
Ir 1.186 1.003 2.198
Ir 1.003 2.826 -2.198
Ir 0.820 1.003 10.988
```

Values from the calculation:
* space group: I-42d (122)

First-principles (GGA-PBE) data for ZrMnIr3 after structural relaxation, as listed in Alexandria via LeMat-Bulk.

Structure (extended XYZ):
```
5
Lattice="4.477 0.000 0.000 0.000 4.477 0.000 0.000 0.000 4.477" Properties=species:S:1:pos:R:3 pbc="T T T"
Zr 0.000 0.000 0.000
Mn 2.238 2.238 2.238
Ir 0.000 2.238 2.238
Ir 2.238 0.000 2.238
Ir 2.238 2.238 0.000
```

Values from the calculation:
* space group: Pm-3m (221)
* energy relative to the lowest polymorph listed for this composition: 0.000 eV per atom

First-principles (GGA-PBE) data for ZrMn2Ir after structural relaxation, as listed in Alexandria via LeMat-Bulk.

Structure (extended XYZ):
```
4
Lattice="1.426 0.823 8.933 -1.426 0.823 8.933 0.000 -1.646 8.933" Properties=species:S:1:pos:R:3 pbc="T T T"
Zr 0.000 0.000 0.000
Mn 0.000 0.000 6.507
Mn 0.000 0.000 20.292
Ir 0.000 0.000 13.400
```

Values from the calculation:
* space group: R-3m (166)

First-principles (GGA-PBE) data for Zr3MnIr after structural relaxation, as listed in Alexandria via LeMat-Bulk.

Structure (extended XYZ):
```
5
Lattice="4.694 0.000 0.000 0.000 4.694 0.000 0.000 0.000 4.694" Properties=species:S:1:pos:R:3 pbc="T T T"
Zr 0.000 0.000 2.347
Zr 0.000 2.347 0.000
Zr 2.347 0.000 0.000
Mn 0.000 0.000 0.000
Ir 2.347 2.347 2.347
```

Values from the calculation:
* space group: Pm-3m (221)
* energy relative to the lowest polymorph listed for this composition: 0.000 eV per atom

First-principles (GGA-PBE) data for ZrMnIr2 after structural relaxation, as listed in Alexandria via LeMat-Bulk.

Structure (extended XYZ):
```
4
Lattice="2.819 0.000 0.000 0.000 2.819 0.000 0.000 0.000 7.701" Properties=species:S:1:pos:R:3 pbc="T T T"
Zr 0.000 0.000 0.000
Mn 1.410 1.410 5.626
Ir 0.000 0.000 4.080
Ir 1.410 1.410 2.120
```

Values from the calculation:
* space group: P4mm (99)

First-principles (GGA-PBE) data for ZrMn2Ir after structural relaxation, as listed in Alexandria via LeMat-Bulk.

Structure (extended XYZ):
```
4
Lattice="4.043 0.000 0.000 0.000 1.414 5.146 0.000 -1.414 5.146" Properties=species:S:1:pos:R:3 pbc="T T T"
Zr 0.000 0.000 0.000
Mn 0.000 0.000 2.682
Mn 2.022 0.000 3.732
Ir 2.022 0.000 6.710
```

Values from the calculation:
* space group: Amm2 (38)

First-principles (GGA-PBE) data for ZrMnIr2 after structural relaxation, as listed in Alexandria via LeMat-Bulk.

Structure (extended XYZ):
```
4
Lattice="-1.950 1.950 4.168 1.950 -1.950 4.168 1.950 1.950 -4.168" Properties=species:S:1:pos:R:3 pbc="T T T"
Zr 0.000 0.000 0.000
Mn 1.950 0.000 2.084
Ir 0.000 0.000 4.168
Ir 0.000 1.950 2.084
```

Values from the calculation:
* space group: I-4m2 (119)

First-principles (GGA-PBE) data for ZrMn2Ir after structural relaxation, as listed in Alexandria via LeMat-Bulk.

Structure (extended XYZ):
```
4
Lattice="3.121 0.000 0.000 0.000 3.121 0.000 0.000 0.000 6.517" Properties=species:S:1:pos:R:3 pbc="T T T"
Zr 0.000 0.000 0.000
Mn 1.561 1.561 1.821
Mn 1.561 1.561 4.696
Ir 0.000 0.000 3.259
```

Values from the calculation:
* space group: P4/mmm (123)

First-principles (GGA-PBE) data for ZrMnIr2 after structural relaxation, as listed in Alexandria via LeMat-Bulk.

Structure (extended XYZ):
```
4
Lattice="1.422 0.821 9.071 -1.422 0.821 9.071 0.000 -1.642 9.071" Properties=species:S:1:pos:R:3 pbc="T T T"
Zr 0.000 0.000 0.000
Mn 0.000 0.000 6.650
Ir 0.000 0.000 13.732
Ir 0.000 0.000 20.536
```

Values from the calculation:
* space group: R3m (160)

First-principles (GGA-PBE) data for ZrMnIr2 after structural relaxation, as listed in Alexandria via LeMat-Bulk.

Structure (extended XYZ):
```
4
Lattice="4.766 -1.477 0.000 4.766 1.477 0.000 -0.910 0.000 4.605" Properties=species:S:1:pos:R:3 pbc="T T T"
Zr 0.000 0.000 0.000
Mn 1.557 0.000 3.169
Ir 4.200 0.000 2.305
Ir 6.947 0.000 1.017
```

Values from the calculation:
* space group: Cm (8)

First-principles (GGA-PBE) data for ZrMn2Ir after structural relaxation, as listed in Alexandria via LeMat-Bulk.

Structure (extended XYZ):
```
4
Lattice="2.902 0.000 0.000 0.000 4.275 0.000 -1.417 0.000 5.211" Properties=species:S:1:pos:R:3 pbc="T T T"
Zr 0.000 0.000 0.000
Mn -0.146 2.137 3.803
Mn 1.632 2.137 1.408
Ir 0.743 0.000 2.606
```

Values from the calculation:
* space group: P2/m (10)

First-principles (GGA-PBE) data for ZrMn2Ir after structural relaxation, as listed in Alexandria via LeMat-Bulk.

Structure (extended XYZ):
```
4
Lattice="3.139 0.000 0.000 0.000 3.139 0.000 0.000 0.000 6.365" Properties=species:S:1:pos:R:3 pbc="T T T"
Zr 0.000 0.000 0.000
Mn 0.000 0.000 3.273
Mn 1.570 1.570 4.524
Ir 1.570 1.570 1.745
```

Values from the calculation:
* space group: P4mm (99)

no.,energy relative to the elements (eV per atom),VASP energy (eV per cell)
1,0.115,-70.0
2,0.647,-41.1
3,0.237,-34.8
4,0.389,-41.7
5,-0.082,-35.8
6,-0.067,-36.0
7,-0.427,-37.1
8,-0.021,-35.8
9,0.077,-35.1
10,-0.308,-36.7
11,-0.037,-35.9
12,-0.213,-36.6